Entry from the Alexandria database: a PBEsol-optimized structure of Tb14Au51 (meta-GGA SCAN).

Cell lengths 12.5584, 12.5584, 9.1082 Å; angles 90.00, 90.00, 120.00 degrees
Space group P-6 (No. 174)
One atom of each set of equivalent atoms:
Tb: 0.0000 0.0000 0.1981 (multiplicity 2)
Tb: 0.1136 0.4004 0.5000 (multiplicity 3)
Tb: 0.1407 0.6776 0.0000 (multiplicity 3)
Tb: 0.3843 0.2732 0.5000 (multiplicity 3)
Tb: 0.4665 0.1419 0.0000 (multiplicity 3)
Au: 0.0217 0.1366 0.5000 (multiplicity 3)
Au: 0.0594 0.2417 0.0000 (multiplicity 3)
Au: 0.0751 0.8119 0.2725 (multiplicity 6)
Au: 0.1022 0.4446 0.1635 (multiplicity 6)
Au: 0.1174 0.6259 0.3477 (multiplicity 6)
Au: 0.2335 0.1769 0.0000 (multiplicity 3)
Au: 0.2724 0.0810 0.2643 (multiplicity 6)
Au: 0.3333 0.6667 0.1862 (multiplicity 2)
Au: 0.3333 0.6667 0.5000 (multiplicity 1)
Au: 0.4402 0.3378 0.1628 (multiplicity 6)
Au: 0.4973 0.1160 0.3488 (multiplicity 6)
Au: 0.6667 0.3333 0.1875 (multiplicity 2)
Au: 0.6667 0.3333 0.5000 (multiplicity 1)

Computed properties:
The calculation puts the formation energy at -0.770 eV per atom. For the density of states at the Fermi level, the calculation gives 0.341 states/eV per atom. The magnetic moment is 0.0 μB/f.u. The theoretical density is 16.38 Mg/m³.


Entry from the Alexandria database: a PBEsol-optimized structure of Tb2Au (meta-GGA SCAN).

Cell lengths 6.971, 4.901, 8.862 Å; angles 90.00, 90.00, 90.00 degrees
Space group Pnma (No. 62)
One atom of each set of equivalent atoms:
Tb: 0.010 0.250 0.178 (multiplicity 4)
Tb: 0.153 0.250 0.583 (multiplicity 4)
Au: 0.242 0.250 0.904 (multiplicity 4)

Computed properties:
The calculation puts the formation energy at -0.866 eV per atom. For the density of states at the Fermi level, the calculation gives 0.926 states/eV per atom. The magnetic moment is 0.0 μB/f.u. The theoretical density is 11.29 Mg/m³.


Entry from the Alexandria database: a PBEsol-optimized structure of TbAu (meta-GGA SCAN).

Cell lengths 3.553, 3.553, 3.553 Å; angles 90.00, 90.00, 90.00 degrees
Space group Pm-3m (No. 221)
One atom of each set of equivalent atoms:
Tb: 0.000 0.000 0.000 (multiplicity 1)
Au: 0.500 0.500 0.500 (multiplicity 1)

Computed properties:
The calculation puts the formation energy at -1.088 eV per atom. For the density of states at the Fermi level, the calculation gives 0.398 states/eV per atom. The magnetic moment is 0.0 μB/f.u. The theoretical density is 13.17 Mg/m³.


Entry from the Alexandria database: a PBEsol-optimized structure of Tc2Au3 (meta-GGA SCAN).

Cell lengths 2.7810, 2.7810, 34.8807 Å; angles 90.00, 90.00, 120.00 degrees
Space group R-3m (No. 166, hexagonal axes)
One atom of each set of equivalent atoms:
Tc: 0.0000 0.0000 0.1006 (multiplicity 6)
Au: 0.0000 0.0000 0.2979 (multiplicity 6)
Au: 0.0000 0.0000 0.5000 (multiplicity 3)

Computed properties:
The calculation puts the formation energy at 0.313 eV per atom. For the density of states at the Fermi level, the calculation gives 0.697 states/eV per atom. The magnetic moment is 0.0 μB/f.u. The theoretical density is 16.78 Mg/m³.


Copy entry 2 word for word.
Entry from the Alexandria database: a PBEsol-optimized structure of Tb2Au (meta-GGA SCAN).

Cell lengths 6.971, 4.901, 8.862 Å; angles 90.00, 90.00, 90.00 degrees
Space group Pnma (No. 62)
One atom of each set of equivalent atoms:
Tb: 0.010 0.250 0.178 (multiplicity 4)
Tb: 0.153 0.250 0.583 (multiplicity 4)
Au: 0.242 0.250 0.904 (multiplicity 4)

Computed properties:
The calculation puts the formation energy at -0.866 eV per atom. For the density of states at the Fermi level, the calculation gives 0.926 states/eV per atom. The magnetic moment is 0.0 μB/f.u. The theoretical density is 11.29 Mg/m³.


> Which value of theoretical density does entry 3 give?

13.17 Mg/m³